(1)
First-principles (PBE-GGA) data for an optimized crystal structure of CsNaRuCl6, as listed in the Alexandria database.

Summary:
The total magnetic moment is 2.0 μB per formula unit. The value obtained for the calculated density is 2.51 g cm⁻³. The total energy comes out at -3.64 eV/atom. As for the space group: No. 5.

a b c (Å): 6.9296 6.9296 7.4820
angles (deg): 90.04 90.04 120.13
Atoms (fractional coordinates):
Cs 0.0000 0.0000 0.0000
Na 0.6662 0.3338 0.5000
Ru 0.3332 0.6668 0.5000
Cl 0.0499 0.3946 0.3177
Cl 0.0514 0.6558 0.6830
Cl 0.3442 0.9486 0.3170
Cl 0.3447 0.3961 0.6829
Cl 0.6039 0.6553 0.3171
Cl 0.6054 0.9501 0.6823


(2)
First-principles (PBE-GGA) data for an optimized crystal structure of AcInF4, as listed in the Alexandria database.

Summary:
The total magnetic moment is 0.0 μB per formula unit. The value obtained for the calculated density is 5.91 g cm⁻³. The energy above the lowest structure with this stoichiometry comes out at 0.00 kcal/mol of atoms. The total energy comes out at -5.70 eV/atom. As for the space group: No. 15.

a b c (Å): 7.2573 7.2573 5.8672
angles (deg): 111.04 111.04 107.34
Atoms (fractional coordinates):
Ac 0.1328 0.8672 0.7500
Ac 0.8672 0.1328 0.2500
In 0.4224 0.5776 0.2500
In 0.5776 0.4224 0.7500
F 0.1221 0.5315 0.3780
F 0.1249 0.2094 0.7300
F 0.2094 0.1249 0.2300
F 0.4685 0.8779 0.1220
F 0.5315 0.1221 0.8780
F 0.7906 0.8751 0.7700
F 0.8751 0.7906 0.2700
F 0.8779 0.4685 0.6220